Entry 1:
! YPt4Rh (PBE, optimized geometry); values from VASP
&SYSTEM
  ibrav = 0, nat = 6, ntyp = 3
/
ATOMIC_SPECIES
Y 88.91 Y.upf
Pt 195.08 Pt.upf
Rh 102.91 Rh.upf
ATOMIC_POSITIONS crystal
Y 0.000 0.000 0.000
Pt 0.873 0.376 0.376
Pt 0.376 0.376 0.873
Pt 0.376 0.873 0.376
Pt 0.376 0.376 0.376
Rh 0.750 0.750 0.750
CELL_PARAMETERS angstrom
-5.108 -0.922 1.134
-2.249 2.331 4.211
-3.611 3.835 -0.699
! Space group ... F-43m
! DFT formation energy ... -0.5384 eV per atom
! DFT total energy ... -6.87 eV per atom


Entry 2:
! Y2PtRh (PBE, optimized geometry); values from VASP
&SYSTEM
  ibrav = 0, nat = 8, ntyp = 3
/
ATOMIC_SPECIES
Y 88.91 Y.upf
Rh 102.91 Rh.upf
Pt 195.08 Pt.upf
ATOMIC_POSITIONS crystal
Y 0.612 0.125 0.250
Y 0.138 0.625 0.250
Y 0.375 0.388 0.750
Y 0.875 0.862 0.750
Rh 0.500 0.500 0.000
Rh 0.250 0.750 0.500
Pt 0.000 0.000 0.000
Pt 0.750 0.250 0.500
CELL_PARAMETERS angstrom
-4.363 3.545 0.692
-0.758 0.163 -5.611
-7.147 -3.881 -2.006
! Space group ... I-42d
! DFT formation energy ... -0.1964 eV per atom
! DFT total energy ... -6.78 eV per atom


Entry 3:
! YPt3Rh (PBE, optimized geometry); values from VASP
&SYSTEM
  ibrav = 0, nat = 10, ntyp = 3
/
ATOMIC_SPECIES
Y 88.91 Y.upf
Pt 195.08 Pt.upf
Rh 102.91 Rh.upf
ATOMIC_POSITIONS crystal
Y 0.500 0.000 0.255
Y 0.000 0.500 0.745
Pt 0.000 0.700 0.256
Pt 0.500 0.800 0.744
Pt 0.500 0.200 0.744
Pt 0.000 0.300 0.256
Pt 0.000 0.000 0.953
Pt 0.500 0.500 0.047
Rh 0.000 0.000 0.554
Rh 0.500 0.500 0.446
CELL_PARAMETERS angstrom
4.416 0.000 0.000
0.000 6.476 0.000
0.000 0.000 6.337
! Space group ... Pmmn
! DFT formation energy ... -0.5037 eV per atom
! Offset from the most stable computed form ... 0 meV per atom
! DFT total energy ... -6.89 eV per atom


Entry 4:
! Y2PtRh (PBE, optimized geometry); values from VASP
&SYSTEM
  ibrav = 0, nat = 4, ntyp = 3
/
ATOMIC_SPECIES
Pt 195.08 Pt.upf
Rh 102.91 Rh.upf
Y 88.91 Y.upf
ATOMIC_POSITIONS crystal
Pt 0.000 0.000 0.421
Rh 0.500 0.500 0.832
Y 0.000 0.000 0.916
Y 0.500 0.500 0.331
CELL_PARAMETERS angstrom
-3.593 1.134 -1.253
-1.262 -3.767 0.210
-1.649 0.859 5.505
! Space group ... P4mm
! DFT formation energy ... -0.8287 eV per atom
! DFT total energy ... -7.41 eV per atom


Entry 5:
! YPtRh2 (PBE, optimized geometry); values from VASP
&SYSTEM
  ibrav = 0, nat = 4, ntyp = 3
/
ATOMIC_SPECIES
Pt 195.08 Pt.upf
Rh 102.91 Rh.upf
Y 88.91 Y.upf
ATOMIC_POSITIONS crystal
Pt 0.250 0.250 0.250
Rh 0.000 0.000 0.000
Rh 0.500 0.500 0.500
Y 0.750 0.750 0.750
CELL_PARAMETERS angstrom
4.902 -0.493 0.424
3.535 3.432 0.424
1.479 0.515 3.848
! Space group ... I4/mmm
! DFT formation energy ... -0.5183 eV per atom
! DFT total energy ... -7.32 eV per atom


Entry 6:
! Y2PtRh (PBE, optimized geometry); values from VASP
&SYSTEM
  ibrav = 0, nat = 4, ntyp = 3
/
ATOMIC_SPECIES
Y 88.91 Y.upf
Rh 102.91 Rh.upf
Pt 195.08 Pt.upf
ATOMIC_POSITIONS crystal
Y 0.018 0.018 0.125
Y 0.735 0.735 0.625
Rh 0.288 0.288 0.125
Pt 0.459 0.459 0.625
CELL_PARAMETERS angstrom
5.650 -0.003 0.008
4.374 3.576 0.008
-0.007 -0.003 4.349
! Space group ... Amm2
! DFT formation energy ... -1.0390 eV per atom
! DFT total energy ... -7.62 eV per atom


Entry 7:
! Y2PtRh3 (PBE, optimized geometry); values from VASP
&SYSTEM
  ibrav = 0, nat = 6, ntyp = 3
/
ATOMIC_SPECIES
Y 88.91 Y.upf
Pt 195.08 Pt.upf
Rh 102.91 Rh.upf
ATOMIC_POSITIONS crystal
Y 0.751 0.376 0.127
Y 0.249 0.624 0.873
Pt 0.000 0.000 0.000
Rh 0.500 0.500 0.500
Rh 0.000 0.000 0.500
Rh 0.500 0.000 0.500
CELL_PARAMETERS angstrom
4.748 -0.142 -2.497
-3.018 4.432 -0.227
-0.208 0.133 5.366
! Space group ... R-3m
! DFT formation energy ... -0.8416 eV per atom
! DFT total energy ... -7.68 eV per atom


Entry 8:
! YPtRh2 (PBE, optimized geometry); values from VASP
&SYSTEM
  ibrav = 0, nat = 8, ntyp = 3
/
ATOMIC_SPECIES
Y 88.91 Y.upf
Rh 102.91 Rh.upf
Pt 195.08 Pt.upf
ATOMIC_POSITIONS crystal
Y 0.500 0.500 0.000
Y 0.250 0.750 0.500
Rh 0.682 0.125 0.250
Rh 0.068 0.625 0.250
Rh 0.375 0.318 0.750
Rh 0.875 0.932 0.750
Pt 0.000 0.000 0.000
Pt 0.750 0.250 0.500
CELL_PARAMETERS angstrom
-1.441 -3.312 -1.796
2.717 -2.246 1.960
-5.471 -3.972 7.182
! Space group ... I-42d
! DFT formation energy ... -0.3098 eV per atom
! DFT total energy ... -7.11 eV per atom


Entry 9:
! Y4PtRh3 (PBE, optimized geometry); values from VASP
&SYSTEM
  ibrav = 0, nat = 16, ntyp = 3
/
ATOMIC_SPECIES
Y 88.91 Y.upf
Rh 102.91 Rh.upf
Pt 195.08 Pt.upf
ATOMIC_POSITIONS crystal
Y 0.500 0.751 0.000
Y 0.500 0.751 0.500
Y 0.500 0.249 0.000
Y 0.500 0.249 0.500
Y 0.000 0.751 0.750
Y 0.000 0.751 0.250
Y 0.000 0.249 0.250
Y 0.000 0.249 0.750
Rh 0.000 0.000 0.000
Rh 0.000 0.000 0.500
Rh 0.500 0.000 0.750
Rh 0.500 0.000 0.250
Rh 0.500 0.500 0.750
Rh 0.500 0.500 0.250
Pt 0.000 0.500 0.000
Pt 0.000 0.500 0.500
CELL_PARAMETERS angstrom
-1.904 0.272 -4.460
6.315 -1.144 -2.766
-1.675 -9.565 0.132
! Space group ... P4/mmm
! DFT formation energy ... -0.9351 eV per atom
! DFT total energy ... -7.68 eV per atom


Entry 10:
! YPtRh2 (PBE, optimized geometry); values from VASP
&SYSTEM
  ibrav = 0, nat = 4, ntyp = 3
/
ATOMIC_SPECIES
Pt 195.08 Pt.upf
Rh 102.91 Rh.upf
Y 88.91 Y.upf
ATOMIC_POSITIONS crystal
Pt 0.750 0.750 0.750
Rh 0.002 0.002 0.002
Rh 0.498 0.498 0.498
Y 0.250 0.250 0.250
CELL_PARAMETERS angstrom
8.861 -0.056 -0.033
8.347 2.974 -0.033
8.347 1.416 2.616
! Space group ... R-3m
! DFT formation energy ... 0.1125 eV per atom
! DFT total energy ... -6.69 eV per atom


Entry 11:
! YPtRh4 (PBE, optimized geometry); values from VASP
&SYSTEM
  ibrav = 0, nat = 6, ntyp = 3
/
ATOMIC_SPECIES
Y 88.91 Y.upf
Pt 195.08 Pt.upf
Rh 102.91 Rh.upf
ATOMIC_POSITIONS crystal
Y 0.750 0.750 0.750
Pt 0.000 0.000 0.000
Rh 0.878 0.374 0.374
Rh 0.374 0.374 0.878
Rh 0.374 0.878 0.374
Rh 0.374 0.374 0.374
CELL_PARAMETERS angstrom
-3.983 -3.023 1.486
-1.015 -0.670 5.073
-4.257 2.149 2.114
! Space group ... F-43m
! DFT formation energy ... -0.2652 eV per atom
! DFT total energy ... -7.25 eV per atom


Entry 12:
! Y5Pt2Rh2 (PBE, optimized geometry); values from VASP
&SYSTEM
  ibrav = 0, nat = 18, ntyp = 3
/
ATOMIC_SPECIES
Y 88.91 Y.upf
Pt 195.08 Pt.upf
Rh 102.91 Rh.upf
ATOMIC_POSITIONS crystal
Y 0.000 0.000 0.000
Y 0.500 0.500 0.000
Y 0.832 0.809 0.273
Y 0.168 0.464 0.273
Y 0.332 0.964 0.273
Y 0.668 0.309 0.273
Y 0.168 0.191 0.727
Y 0.832 0.536 0.727
Y 0.668 0.036 0.727
Y 0.332 0.691 0.727
Pt 0.000 0.203 0.406
Pt 0.500 0.703 0.406
Pt 0.000 0.797 0.594
Pt 0.500 0.297 0.594
Rh 0.629 0.870 0.000
Rh 0.371 0.130 0.000
Rh 0.129 0.630 0.000
Rh 0.871 0.370 0.000
CELL_PARAMETERS angstrom
-3.486 4.619 -4.810
-5.647 -4.841 -0.557
-0.598 5.758 5.963
! Space group ... Cmce
! DFT formation energy ... -0.9570 eV per atom
! DFT total energy ... -7.52 eV per atom